(1)
HoAl2Ga: optimized geometry, PBE.

CIF file:
```
data_HoAl2Ga
_cell_length_a 5.689
_cell_length_b 5.689
_cell_length_c 5.689
_cell_angle_alpha 44.72
_cell_angle_beta 44.72
_cell_angle_gamma 44.72
_symmetry_space_group_name_H-M 'P 1'
_symmetry_Int_Tables_number 1
loop_
_symmetry_equiv_pos_as_xyz
'x,y,z'
loop_
_atom_site_label
_atom_site_fract_x
_atom_site_fract_y
_atom_site_fract_z
Ho1 0.000 0.000 0.000
Al1 0.215 0.215 0.215
Al2 0.785 0.785 0.785
Ga1 0.500 0.500 0.500
```

***

(2)
Ho4Al5Ga6: optimized geometry, PBE.

CIF file:
```
data_Ho4Al5Ga6
_cell_length_a 9.652
_cell_length_b 9.652
_cell_length_c 15.305
_cell_angle_alpha 90.00
_cell_angle_beta 90.00
_cell_angle_gamma 154.26
_symmetry_space_group_name_H-M 'P 1'
_symmetry_Int_Tables_number 1
loop_
_symmetry_equiv_pos_as_xyz
'x,y,z'
loop_
_atom_site_label
_atom_site_fract_x
_atom_site_fract_y
_atom_site_fract_z
Ho1 0.021 0.979 0.500
Ho2 0.034 0.966 0.770
Ho3 0.164 0.836 0.306
Ho4 0.176 0.824 0.946
Ho5 0.824 0.176 0.446
Ho6 0.836 0.164 0.806
Ho7 0.966 0.034 0.270
Ho8 0.979 0.021 0.000
Al1 0.151 0.849 0.631
Al2 0.304 0.696 0.623
Al3 0.341 0.659 0.280
Al4 0.350 0.650 0.982
Al5 0.436 0.564 0.692
Al6 0.564 0.436 0.192
Al7 0.650 0.350 0.482
Al8 0.659 0.341 0.780
Al9 0.696 0.304 0.123
Al10 0.849 0.151 0.131
Ga1 0.109 0.891 0.116
Ga2 0.224 0.776 0.486
Ga3 0.233 0.767 0.768
Ga4 0.429 0.571 0.414
Ga5 0.431 0.569 0.134
Ga6 0.443 0.557 0.860
Ga7 0.557 0.443 0.360
Ga8 0.569 0.431 0.634
Ga9 0.571 0.429 0.914
Ga10 0.767 0.233 0.268
Ga11 0.776 0.224 0.986
Ga12 0.891 0.109 0.616
```

***

(3)
Ho2AlGa6: optimized geometry, PBE.

CIF file:
```
data_Ho2AlGa6
_cell_length_a 8.530
_cell_length_b 8.530
_cell_length_c 3.326
_cell_angle_alpha 90.07
_cell_angle_beta 90.07
_cell_angle_gamma 50.44
_symmetry_space_group_name_H-M 'P 1'
_symmetry_Int_Tables_number 1
loop_
_symmetry_equiv_pos_as_xyz
'x,y,z'
loop_
_atom_site_label
_atom_site_fract_x
_atom_site_fract_y
_atom_site_fract_z
Ho1 0.200 0.200 0.001
Ho2 0.800 0.800 0.999
Al1 0.500 0.500 0.500
Ga1 0.174 0.536 0.500
Ga2 0.187 0.813 0.000
Ga3 0.464 0.826 0.500
Ga4 0.536 0.174 0.500
Ga5 0.813 0.187 0.000
Ga6 0.826 0.464 0.500
```

polymorph energy (0 for the lowest one) = 0.194 eV per atom

***

(4)
Ho2AlGa: optimized geometry, PBE.

CIF file:
```
data_Ho2AlGa
_cell_length_a 3.561
_cell_length_b 3.561
_cell_length_c 7.179
_cell_angle_alpha 90.00
_cell_angle_beta 90.00
_cell_angle_gamma 90.00
_symmetry_space_group_name_H-M 'P 1'
_symmetry_Int_Tables_number 1
loop_
_symmetry_equiv_pos_as_xyz
'x,y,z'
loop_
_atom_site_label
_atom_site_fract_x
_atom_site_fract_y
_atom_site_fract_z
Ho1 0.000 0.000 0.247
Ho2 0.000 0.000 0.753
Al1 0.500 0.500 0.500
Ga1 0.500 0.500 0.000
```

***

(5)
Ho2Al2Ga: optimized geometry, PBE.

CIF file:
```
data_Ho2Al2Ga
_cell_length_a 3.440
_cell_length_b 7.417
_cell_length_c 7.417
_cell_angle_alpha 34.45
_cell_angle_beta 90.00
_cell_angle_gamma 90.00
_symmetry_space_group_name_H-M 'P 1'
_symmetry_Int_Tables_number 1
loop_
_symmetry_equiv_pos_as_xyz
'x,y,z'
loop_
_atom_site_label
_atom_site_fract_x
_atom_site_fract_y
_atom_site_fract_z
Ho1 0.000 0.000 0.000
Ho2 0.000 0.234 0.234
Al1 0.500 0.618 0.618
Al2 0.500 0.817 0.817
Ga1 0.500 0.419 0.419
```

***

(6)
HoAl2Ga: optimized geometry, PBE.

CIF file:
```
data_HoAl2Ga
_cell_length_a 6.564
_cell_length_b 6.564
_cell_length_c 6.564
_cell_angle_alpha 100.52
_cell_angle_beta 100.52
_cell_angle_gamma 100.52
_symmetry_space_group_name_H-M 'P 1'
_symmetry_Int_Tables_number 1
loop_
_symmetry_equiv_pos_as_xyz
'x,y,z'
loop_
_atom_site_label
_atom_site_fract_x
_atom_site_fract_y
_atom_site_fract_z
Ho1 0.000 0.000 0.000
Ho2 0.329 0.329 0.329
Ho3 0.671 0.671 0.671
Al1 0.236 0.500 0.764
Al2 0.236 0.764 0.500
Al3 0.500 0.236 0.764
Al4 0.500 0.764 0.236
Al5 0.764 0.236 0.500
Al6 0.764 0.500 0.236
Ga1 0.000 0.000 0.500
Ga2 0.000 0.500 0.000
Ga3 0.500 0.000 0.000
```

***

(7)
Ho2AlGa9: optimized geometry, PBE.

CIF file:
```
data_Ho2AlGa9
_cell_length_a 4.230
_cell_length_b 4.230
_cell_length_c 12.698
_cell_angle_alpha 90.00
_cell_angle_beta 90.00
_cell_angle_gamma 90.00
_symmetry_space_group_name_H-M 'P 1'
_symmetry_Int_Tables_number 1
loop_
_symmetry_equiv_pos_as_xyz
'x,y,z'
loop_
_atom_site_label
_atom_site_fract_x
_atom_site_fract_y
_atom_site_fract_z
Ho1 0.000 0.000 0.168
Ho2 0.000 0.000 0.832
Al1 0.000 0.000 0.500
Ga1 0.000 0.500 0.000
Ga2 0.000 0.500 0.344
Ga3 0.000 0.500 0.656
Ga4 0.500 0.000 0.000
Ga5 0.500 0.000 0.344
Ga6 0.500 0.000 0.656
Ga7 0.500 0.500 0.165
Ga8 0.500 0.500 0.500
Ga9 0.500 0.500 0.835
```

***

(8)
Ho4AlGa: optimized geometry, PBE.

CIF file:
```
data_Ho4AlGa
_cell_length_a 8.066
_cell_length_b 8.066
_cell_length_c 5.874
_cell_angle_alpha 102.45
_cell_angle_beta 102.45
_cell_angle_gamma 113.59
_symmetry_space_group_name_H-M 'P 1'
_symmetry_Int_Tables_number 1
loop_
_symmetry_equiv_pos_as_xyz
'x,y,z'
loop_
_atom_site_label
_atom_site_fract_x
_atom_site_fract_y
_atom_site_fract_z
Ho1 0.063 0.699 0.926
Ho2 0.223 0.374 0.675
Ho3 0.301 0.937 0.574
Ho4 0.374 0.223 0.175
Ho5 0.626 0.777 0.825
Ho6 0.699 0.063 0.426
Ho7 0.777 0.626 0.325
Ho8 0.937 0.301 0.074
Al1 0.377 0.623 0.250
Al2 0.623 0.377 0.750
Ga1 0.000 0.000 0.250
Ga2 0.000 0.000 0.750
```

***

(9)
Ho3AlGa2: optimized geometry, PBE.

CIF file:
```
data_Ho3AlGa2
_cell_length_a 3.545
_cell_length_b 3.545
_cell_length_c 10.832
_cell_angle_alpha 90.00
_cell_angle_beta 90.00
_cell_angle_gamma 90.00
_symmetry_space_group_name_H-M 'P 1'
_symmetry_Int_Tables_number 1
loop_
_symmetry_equiv_pos_as_xyz
'x,y,z'
loop_
_atom_site_label
_atom_site_fract_x
_atom_site_fract_y
_atom_site_fract_z
Ho1 0.000 0.000 0.000
Ho2 0.000 0.000 0.331
Ho3 0.000 0.000 0.669
Al1 0.500 0.500 0.500
Ga1 0.500 0.500 0.166
Ga2 0.500 0.500 0.834
```

polymorph energy (0 for the lowest one) = 0.000 eV per atom

***

(10)
Ho2AlGa4: optimized geometry, PBE.

CIF file:
```
data_Ho2AlGa4
_cell_length_a 5.952
_cell_length_b 5.952
_cell_length_c 4.176
_cell_angle_alpha 90.00
_cell_angle_beta 90.00
_cell_angle_gamma 94.66
_symmetry_space_group_name_H-M 'P 1'
_symmetry_Int_Tables_number 1
loop_
_symmetry_equiv_pos_as_xyz
'x,y,z'
loop_
_atom_site_label
_atom_site_fract_x
_atom_site_fract_y
_atom_site_fract_z
Ho1 0.232 0.232 0.000
Ho2 0.768 0.768 0.000
Al1 0.500 0.500 0.500
Ga1 0.000 0.500 0.500
Ga2 0.260 0.740 0.000
Ga3 0.500 0.000 0.500
Ga4 0.740 0.260 0.000
```

polymorph energy (0 for the lowest one) = 0.000 eV per atom

***

(11)
HoAl2Ga4: optimized geometry, PBE.

CIF file:
```
data_HoAl2Ga4
_cell_length_a 3.982
_cell_length_b 3.982
_cell_length_c 9.536
_cell_angle_alpha 90.00
_cell_angle_beta 90.00
_cell_angle_gamma 90.00
_symmetry_space_group_name_H-M 'P 1'
_symmetry_Int_Tables_number 1
loop_
_symmetry_equiv_pos_as_xyz
'x,y,z'
loop_
_atom_site_label
_atom_site_fract_x
_atom_site_fract_y
_atom_site_fract_z
Ho1 0.000 0.000 0.000
Al1 0.000 0.500 0.500
Al2 0.500 0.000 0.500
Ga1 0.258 0.258 0.261
Ga2 0.258 0.742 0.739
Ga3 0.742 0.258 0.739
Ga4 0.742 0.742 0.261
```

polymorph energy (0 for the lowest one) = 0.199 eV per atom

***

(12)
HoAl2Ga4: optimized geometry, PBE.

CIF file:
```
data_HoAl2Ga4
_cell_length_a 10.389
_cell_length_b 10.389
_cell_length_c 10.389
_cell_angle_alpha 22.97
_cell_angle_beta 22.97
_cell_angle_gamma 22.97
_symmetry_space_group_name_H-M 'P 1'
_symmetry_Int_Tables_number 1
loop_
_symmetry_equiv_pos_as_xyz
'x,y,z'
loop_
_atom_site_label
_atom_site_fract_x
_atom_site_fract_y
_atom_site_fract_z
Ho1 0.000 0.000 0.000
Al1 0.188 0.188 0.188
Al2 0.812 0.812 0.812
Ga1 0.100 0.100 0.100
Ga2 0.273 0.273 0.273
Ga3 0.727 0.727 0.727
Ga4 0.900 0.900 0.900
```

polymorph energy (0 for the lowest one) = 0.000 eV per atom

***

(13)
Ho3Al3Ga2: optimized geometry, PBE.

CIF file:
```
data_Ho3Al3Ga2
_cell_length_a 5.763
_cell_length_b 5.763
_cell_length_c 14.827
_cell_angle_alpha 90.00
_cell_angle_beta 90.00
_cell_angle_gamma 135.84
_symmetry_space_group_name_H-M 'P 1'
_symmetry_Int_Tables_number 1
loop_
_symmetry_equiv_pos_as_xyz
'x,y,z'
loop_
_atom_site_label
_atom_site_fract_x
_atom_site_fract_y
_atom_site_fract_z
Ho1 0.079 0.921 0.611
Ho2 0.079 0.921 0.889
Ho3 0.356 0.644 0.750
Ho4 0.644 0.356 0.250
Ho5 0.921 0.079 0.111
Ho6 0.921 0.079 0.389
Al1 0.362 0.638 0.250
Al2 0.383 0.617 0.539
Al3 0.383 0.617 0.961
Al4 0.617 0.383 0.039
Al5 0.617 0.383 0.461
Al6 0.638 0.362 0.750
Ga1 0.211 0.789 0.108
Ga2 0.211 0.789 0.392
Ga3 0.789 0.211 0.608
Ga4 0.789 0.211 0.892
```

***

(14)
Ho7Al2Ga2: optimized geometry, PBE.

CIF file:
```
data_Ho7Al2Ga2
_cell_length_a 6.547
_cell_length_b 6.547
_cell_length_c 7.658
_cell_angle_alpha 90.00
_cell_angle_beta 90.00
_cell_angle_gamma 111.65
_symmetry_space_group_name_H-M 'P 1'
_symmetry_Int_Tables_number 1
loop_
_symmetry_equiv_pos_as_xyz
'x,y,z'
loop_
_atom_site_label
_atom_site_fract_x
_atom_site_fract_y
_atom_site_fract_z
Ho1 0.000 0.000 0.000
Ho2 0.000 0.500 0.289
Ho3 0.000 0.500 0.711
Ho4 0.500 0.000 0.289
Ho5 0.500 0.000 0.711
Ho6 0.500 0.500 0.263
Ho7 0.500 0.500 0.737
Al1 0.291 0.709 0.000
Al2 0.709 0.291 0.000
Ga1 0.173 0.173 0.500
Ga2 0.827 0.827 0.500
```

***

(15)
Ho2AlGa: optimized geometry, PBE.

CIF file:
```
data_Ho2AlGa
_cell_length_a 4.048
_cell_length_b 5.900
_cell_length_c 5.900
_cell_angle_alpha 43.65
_cell_angle_beta 90.00
_cell_angle_gamma 90.00
_symmetry_space_group_name_H-M 'P 1'
_symmetry_Int_Tables_number 1
loop_
_symmetry_equiv_pos_as_xyz
'x,y,z'
loop_
_atom_site_label
_atom_site_fract_x
_atom_site_fract_y
_atom_site_fract_z
Ho1 0.000 0.000 0.000
Ho2 0.500 0.281 0.281
Al1 0.500 0.569 0.569
Ga1 0.000 0.719 0.719
```

***

(16)
Ho5AlGa4: optimized geometry, PBE.

CIF file:
```
data_Ho5AlGa4
_cell_length_a 3.549
_cell_length_b 3.549
_cell_length_c 17.937
_cell_angle_alpha 90.00
_cell_angle_beta 90.00
_cell_angle_gamma 90.00
_symmetry_space_group_name_H-M 'P 1'
_symmetry_Int_Tables_number 1
loop_
_symmetry_equiv_pos_as_xyz
'x,y,z'
loop_
_atom_site_label
_atom_site_fract_x
_atom_site_fract_y
_atom_site_fract_z
Ho1 0.000 0.000 0.000
Ho2 0.000 0.000 0.199
Ho3 0.000 0.000 0.398
Ho4 0.000 0.000 0.602
Ho5 0.000 0.000 0.801
Al1 0.500 0.500 0.500
Ga1 0.500 0.500 0.100
Ga2 0.500 0.500 0.299
Ga3 0.500 0.500 0.701
Ga4 0.500 0.500 0.900
```

***

(17)
Ho3Al4Ga4: optimized geometry, PBE.

CIF file:
```
data_Ho3Al4Ga4
_cell_length_a 8.397
_cell_length_b 8.397
_cell_length_c 8.397
_cell_angle_alpha 151.01
_cell_angle_beta 129.67
_cell_angle_gamma 59.13
_symmetry_space_group_name_H-M 'P 1'
_symmetry_Int_Tables_number 1
loop_
_symmetry_equiv_pos_as_xyz
'x,y,z'
loop_
_atom_site_label
_atom_site_fract_x
_atom_site_fract_y
_atom_site_fract_z
Ho1 0.000 0.000 0.000
Ho2 0.375 0.875 0.500
Ho3 0.625 0.125 0.500
Al1 0.026 0.340 0.686
Al2 0.346 0.660 0.686
Al3 0.654 0.340 0.314
Al4 0.974 0.660 0.314
Ga1 0.221 0.221 0.000
Ga2 0.319 0.500 0.819
Ga3 0.681 0.500 0.181
Ga4 0.779 0.779 0.000
```

***

(18)
Ho4Al12Ga: optimized geometry, PBE.

CIF file:
```
data_Ho4Al12Ga
_cell_length_a 7.547
_cell_length_b 7.547
_cell_length_c 7.547
_cell_angle_alpha 109.47
_cell_angle_beta 109.47
_cell_angle_gamma 109.47
_symmetry_space_group_name_H-M 'P 1'
_symmetry_Int_Tables_number 1
loop_
_symmetry_equiv_pos_as_xyz
'x,y,z'
loop_
_atom_site_label
_atom_site_fract_x
_atom_site_fract_y
_atom_site_fract_z
Ho1 0.000 0.000 0.500
Ho2 0.000 0.500 0.000
Ho3 0.500 0.000 0.000
Ho4 0.500 0.500 0.500
Al1 0.000 0.306 0.306
Al2 0.000 0.694 0.694
Al3 0.250 0.500 0.750
Al4 0.250 0.750 0.500
Al5 0.306 0.000 0.306
Al6 0.306 0.306 0.000
Al7 0.500 0.250 0.750
Al8 0.500 0.750 0.250
Al9 0.694 0.000 0.694
Al10 0.694 0.694 0.000
Al11 0.750 0.250 0.500
Al12 0.750 0.500 0.250
Ga1 0.000 0.000 0.000
```

***

(19)
Ho2AlGa4: optimized geometry, PBE.

CIF file:
```
data_Ho2AlGa4
_cell_length_a 8.347
_cell_length_b 8.347
_cell_length_c 8.347
_cell_angle_alpha 147.37
_cell_angle_beta 147.37
_cell_angle_gamma 46.81
_symmetry_space_group_name_H-M 'P 1'
_symmetry_Int_Tables_number 1
loop_
_symmetry_equiv_pos_as_xyz
'x,y,z'
loop_
_atom_site_label
_atom_site_fract_x
_atom_site_fract_y
_atom_site_fract_z
Ho1 0.185 0.185 0.000
Ho2 0.815 0.815 0.000
Al1 0.000 0.000 0.000
Ga1 0.000 0.500 0.500
Ga2 0.377 0.377 0.000
Ga3 0.500 0.000 0.500
Ga4 0.623 0.623 0.000
```

polymorph energy (0 for the lowest one) = 0.510 eV per atom

***

(20)
HoAlGaIr2: optimized geometry, PBE.

CIF file:
```
data_HoAlGaIr2
_cell_length_a 7.205
_cell_length_b 7.205
_cell_length_c 6.203
_cell_angle_alpha 90.00
_cell_angle_beta 90.00
_cell_angle_gamma 143.72
_symmetry_space_group_name_H-M 'P 1'
_symmetry_Int_Tables_number 1
loop_
_symmetry_equiv_pos_as_xyz
'x,y,z'
loop_
_atom_site_label
_atom_site_fract_x
_atom_site_fract_y
_atom_site_fract_z
Ho1 0.132 0.868 0.750
Ho2 0.868 0.132 0.250
Al1 0.183 0.817 0.250
Al2 0.817 0.183 0.750
Ga1 0.500 0.500 0.000
Ga2 0.500 0.500 0.500
Ir1 0.325 0.675 0.522
Ir2 0.325 0.675 0.978
Ir3 0.675 0.325 0.022
Ir4 0.675 0.325 0.478
```

***

(21)
Ho2AlGa2Ir5: optimized geometry, PBE.

CIF file:
```
data_Ho2AlGa2Ir5
_cell_length_a 9.769
_cell_length_b 9.769
_cell_length_c 3.524
_cell_angle_alpha 90.00
_cell_angle_beta 90.00
_cell_angle_gamma 90.00
_symmetry_space_group_name_H-M 'P 1'
_symmetry_Int_Tables_number 1
loop_
_symmetry_equiv_pos_as_xyz
'x,y,z'
loop_
_atom_site_label
_atom_site_fract_x
_atom_site_fract_y
_atom_site_fract_z
Ho1 0.173 0.327 0.000
Ho2 0.327 0.827 0.000
Ho3 0.673 0.173 0.000
Ho4 0.827 0.673 0.000
Al1 0.000 0.000 0.000
Al2 0.500 0.500 0.000
Ga1 0.127 0.627 0.000
Ga2 0.373 0.127 0.000
Ga3 0.627 0.873 0.000
Ga4 0.873 0.373 0.000
Ir1 0.000 0.500 0.500
Ir2 0.063 0.799 0.500
Ir3 0.201 0.063 0.500
Ir4 0.299 0.563 0.500
Ir5 0.437 0.299 0.500
Ir6 0.500 0.000 0.500
Ir7 0.563 0.701 0.500
Ir8 0.701 0.437 0.500
Ir9 0.799 0.937 0.500
Ir10 0.937 0.201 0.500
```

***

(22)
La2HoAl3Ga6: optimized geometry, PBE.

CIF file:
```
data_La2HoAl3Ga6
_cell_length_a 4.250
_cell_length_b 4.250
_cell_length_c 17.153
_cell_angle_alpha 90.00
_cell_angle_beta 90.00
_cell_angle_gamma 90.00
_symmetry_space_group_name_H-M 'P 1'
_symmetry_Int_Tables_number 1
loop_
_symmetry_equiv_pos_as_xyz
'x,y,z'
loop_
_atom_site_label
_atom_site_fract_x
_atom_site_fract_y
_atom_site_fract_z
La1 0.000 0.000 0.216
La2 0.000 0.000 0.784
Ho1 0.000 0.000 0.500
Al1 0.500 0.500 0.000
Al2 0.500 0.500 0.282
Al3 0.500 0.500 0.718
Ga1 0.000 0.500 0.375
Ga2 0.000 0.500 0.625
Ga3 0.500 0.000 0.375
Ga4 0.500 0.000 0.625
Ga5 0.500 0.500 0.139
Ga6 0.500 0.500 0.861
```

***

Here are the calculated formation energy numbers, same order: -0.24; -0.45; -0.26; -0.49; -0.50; 0.00; -0.32; -0.28; -0.52; -0.41; 0.03; -0.17; -0.53; -0.08; -0.51; -0.54; -0.44; -0.35; 0.10; -0.66; -0.70; -0.20 (eV/atom).